Record 1
Entry from the Alexandria database: a relaxed structure of Ba6Na3Zn (PBE).

Calculated volume (Å³ per cell): 1006.99
Raw total energy (eV per atom): -1.653
Size of the total moment (μB/f.u.): 0.0
Formation enthalpy at 0 K (meV/atom): 24.2

Geometry as POSCAR:
```
Ba6Na3Zn
1.0
11.330 0.000 0.000
0.000 13.719 0.000
0.000 0.000 6.479
Ba Na Zn
12 6 2
Direct
0.012 0.236 0.000
0.152 0.074 0.500
0.192 0.424 0.500
0.308 0.924 0.000
0.348 0.574 0.000
0.488 0.736 0.500
0.512 0.264 0.500
0.652 0.426 0.000
0.692 0.076 0.000
0.808 0.576 0.500
0.848 0.926 0.500
0.988 0.764 0.000
0.000 0.500 0.000
0.156 0.738 0.500
0.344 0.238 0.000
0.500 0.000 0.500
0.656 0.762 0.000
0.844 0.262 0.500
0.000 0.000 0.000
0.500 0.500 0.500
```

---

Record 2
Entry from the Alexandria database: a relaxed structure of Ba5NaZn2 (PBE).

Calculated volume (Å³ per cell): 741.65
Raw total energy (eV per atom): -1.763
Size of the total moment (μB/f.u.): 0.0
Formation enthalpy at 0 K (meV/atom): -77.9

Geometry as POSCAR:
```
Ba5NaZn2
1.0
-4.739 4.739 8.256
4.739 -4.739 8.256
4.739 4.739 -8.256
Ba Na Zn
10 2 4
Direct
0.000 0.000 0.000
0.024 0.524 0.815
0.210 0.024 0.500
0.290 0.790 0.815
0.476 0.290 0.500
0.500 0.500 0.000
0.524 0.710 0.500
0.710 0.210 0.185
0.790 0.976 0.500
0.976 0.476 0.185
0.250 0.250 0.000
0.750 0.750 0.000
0.130 0.370 0.500
0.370 0.870 0.241
0.630 0.130 0.759
0.870 0.630 0.500
```

---

Record 3
Entry from the Alexandria database: a relaxed structure of Ba2NaZn9 (PBE).

Calculated volume (Å³ per cell): 266.99
Raw total energy (eV per atom): -1.438
Size of the total moment (μB/f.u.): 0.0
Formation enthalpy at 0 K (meV/atom): -52.6

Geometry as POSCAR:
```
Ba2NaZn9
1.0
2.910 1.680 9.100
-2.910 1.680 9.100
0.000 -3.360 9.100
Ba Na Zn
2 1 9
Direct
0.140 0.140 0.140
0.860 0.860 0.860
0.000 0.000 0.000
0.073 0.578 0.578
0.335 0.335 0.335
0.422 0.422 0.927
0.422 0.927 0.422
0.500 0.500 0.500
0.578 0.073 0.578
0.578 0.578 0.073
0.665 0.665 0.665
0.927 0.422 0.422
```

---

Record 4
Entry from the Alexandria database: a relaxed structure of Ba3NaZn2 (PBE).

Calculated volume (Å³ per cell): 238.25
Raw total energy (eV per atom): -1.729
Size of the total moment (μB/f.u.): 0.0
Formation enthalpy at 0 K (meV/atom): -123.1

Geometry as POSCAR:
```
Ba3NaZn2
1.0
4.148 0.000 0.000
0.000 4.148 0.000
0.000 0.000 13.844
Ba Na Zn
3 1 2
Direct
0.000 0.000 0.000
0.000 0.000 0.290
0.000 0.000 0.710
0.500 0.500 0.500
0.500 0.500 0.155
0.500 0.500 0.845
```

---

Record 5
Entry from the Alexandria database: a relaxed structure of BaNaZn2 (PBE).

Calculated volume (Å³ per cell): 116.30
Raw total energy (eV per atom): -1.455
Size of the total moment (μB/f.u.): 0.0
Formation enthalpy at 0 K (meV/atom): -7.2

Geometry as POSCAR:
```
BaNaZn2
1.0
4.013 0.000 0.000
0.000 4.013 0.000
0.000 0.000 7.223
Ba Na Zn
1 1 2
Direct
0.000 0.000 0.000
0.000 0.000 0.500
0.500 0.500 0.308
0.500 0.500 0.692
```

---

Record 6
Entry from the Alexandria database: a relaxed structure of BaNa4Zn2 (PBE).

Calculated volume (Å³ per cell): 228.01
Raw total energy (eV per atom): -1.413
Size of the total moment (μB/f.u.): 0.0
Formation enthalpy at 0 K (meV/atom): -20.9

Geometry as POSCAR:
```
BaNa4Zn2
1.0
2.337 -9.785 0.000
2.337 9.785 0.000
0.000 0.000 4.985
Ba Na Zn
1 4 2
Direct
0.000 0.000 0.000
0.175 0.825 0.500
0.327 0.673 0.000
0.673 0.327 0.000
0.825 0.175 0.500
0.433 0.567 0.500
0.567 0.433 0.500
```